Here is a geometry-optimized Ce3Si2S8Cl structure from Alexandria. Energies are from PBE-GGA.

ΔE_f (raw)	-1461	meV/atom

Cell lengths 15.8058, 7.6972, 11.0480 Å; angles 90.00, 97.29, 90.00 degrees
Last column: nearest neighbours and their distance in Å.
Space group C2/c (No. 15)
Asymmetric unit:
Ce1 0.0000 0.1202 0.2500 [4 per cell]  1 Cl 2.85, 4 S 2.90-2.91
Ce2 0.1966 0.3771 0.6856 [8 per cell]  8 S 2.91-3.09
Si1 0.1601 0.0326 0.0303 [8 per cell]  4 S 2.12-2.14
S1 0.0664 0.1577 0.5520 [8 per cell]  1 Si 2.12
S2 0.1461 0.2509 0.1432 [8 per cell]  1 Si 2.12
S3 0.1472 0.0910 0.8407 [8 per cell]  1 Si 2.13
S4 0.2154 0.4291 0.4150 [8 per cell]  1 Si 2.14
Cl1 0.0000 0.4909 0.2500 [4 per cell]  1 Ce 2.85


Here is a geometry-optimized ZrTaCu2 structure from Alexandria. Energies are from PBE-GGA.

calculated formation energy	242.2	meV per atom

Cell lengths 8.9336, 2.7459, 5.6261 Å; angles 90.00, 97.96, 90.00 degrees
Last column: nearest neighbours and their distance in Å.
Space group C2/m (No. 12)
Asymmetric unit:
Zr1 0.0000 0.0000 0.0000 [2 per cell]  2 Zr 2.75, 6 Cu 2.94-2.95
Ta1 0.0000 0.5000 0.5000 [2 per cell]  6 Cu 2.66-2.72, 2 Ta 2.75
Cu1 0.2485 0.0000 0.7041 [4 per cell]  3 Ta 2.66-2.72, 4 Cu 2.68-2.75, 3 Zr 2.94-2.95


Here is a geometry-optimized Hf2Cu2Ge structure from Alexandria. Energies are from PBE-GGA.

calculated formation energy	-301.1	meV per atom
ΔE to the lowest computed polymorph	0.0	kJ/mol of formula units

Cell lengths 6.4519, 6.4519, 4.0008 Å; angles 90.00, 90.00, 90.00 degrees
Last column: nearest neighbours and their distance in Å.
Space group P4/mbm (No. 127)
Asymmetric unit:
Hf1 0.1691 0.3309 0.0000 [4 per cell]  6 Cu 2.71-2.79
Cu1 0.1310 0.6310 0.5000 [4 per cell]  1 Cu 2.39, 2 Ge 2.53
Ge1 0.0000 0.0000 0.5000 [2 per cell]  4 Cu 2.53


| no. | D(E_F) (states/eV/cell) |
| --- | --- |
| 1 | 92.1 |
| 2 | 6.8 |
| 3 | 3.1 |